# 1
The following is a PBE calculation of an optimized crystal structure of Sm8AlCd2, from Alexandria via LeMat-Bulk.

abc: 18.2926 5.3277 7.2198
angles: 90.00 107.85 90.00
Space group C2/m (No. 12)
Inequivalent atoms, fractional coordinates:
Sm1 0.0202 0.0000 0.2702
Sm2 0.0912 0.5000 0.9554
Sm3 0.1639 0.5000 0.4633
Sm4 0.1945 0.0000 0.7922
Al1 0.0000 0.5000 0.5000
Cd1 0.1828 0.0000 0.2077

Properties
ρ in g cm⁻³: 7.21
Magnetic moment in μB per formula unit: 0.000
Formation energy from the elements in eV/atom: -0.128

# 2
The following is a PBE calculation of an optimized crystal structure of BaLi2GaHg, from Alexandria via LeMat-Bulk.

abc: 5.2150 5.2150 5.2261
angles: 90.00 90.00 90.00
Space group P4/mmm (No. 123)
Inequivalent atoms, fractional coordinates:
Ba1 0.0000 0.0000 0.0000
Li1 0.0000 0.5000 0.5000
Ga1 0.5000 0.5000 0.0000
Hg1 0.5000 0.5000 0.5000

Properties
ρ in g cm⁻³: 4.92
Magnetic moment in μB per formula unit: 0.319
Formation energy from the elements in eV/atom: -0.163

# 3
The following is a PBE calculation of an optimized crystal structure of PmLuN, from Alexandria via LeMat-Bulk.

abc: 3.4791 3.4791 6.1382
angles: 90.00 90.00 120.00
Space group P3m1 (No. 156)
Inequivalent atoms, fractional coordinates:
Pm1 0.0000 0.0000 0.0000
Lu1 0.3333 0.6667 0.5580
N1 0.6667 0.3333 0.7408

Properties
ρ in g cm⁻³: 8.62
Magnetic moment in μB per formula unit: 0.635
Formation energy from raw total energies in meV/atom: -999

# 4
The following is a PBE calculation of an optimized crystal structure of KAg6Se4, from Alexandria via LeMat-Bulk.

abc: 4.3953 4.3953 27.2083
angles: 90.00 90.00 90.00
Space group I4/mmm (No. 139)
Inequivalent atoms, fractional coordinates:
K1 0.0000 0.0000 0.0000
Ag1 0.0000 0.5000 0.1208
Ag2 0.0000 0.5000 0.2500
Se1 0.0000 0.0000 0.1884
Se2 0.0000 0.0000 0.4349

Properties
ρ in g cm⁻³: 6.33
Magnetic moment in μB per formula unit: 0.000
Formation energy from raw total energies in meV/atom: -237

# 5
The following is a PBE calculation of an optimized crystal structure of PuB3Ru3, from Alexandria via LeMat-Bulk.

abc: 7.0153 7.0153 7.0153
angles: 90.00 90.00 90.00
Space group P2_13 (No. 198)
Inequivalent atoms, fractional coordinates:
Pu1 0.0742 0.4258 0.5742
B1 0.0009 0.2618 0.9088
Ru1 0.0459 0.5459 0.9541
Ru2 0.1876 0.8124 0.3124
Ru3 0.2039 0.2039 0.2039

Properties
ρ in g cm⁻³: 11.15
Magnetic moment in μB per formula unit: 4.211
Formation energy from the elements in eV/atom: 0.014

# 6
The following is a PBE calculation of an optimized crystal structure of TlIn3Pb3, from Alexandria via LeMat-Bulk.

abc: 8.7267 7.8950 12.1673
angles: 90.00 96.67 90.00
Space group P2_1/c (No. 14)
Inequivalent atoms, fractional coordinates:
Tl1 0.2215 0.1176 0.3268
In1 0.0688 0.6310 0.6056
In2 0.3717 0.6319 0.0453
In3 0.4957 0.1258 0.7476
Pb1 0.0809 0.1189 0.6076
Pb2 0.2136 0.6320 0.3255
Pb3 0.3540 0.1147 0.0439

Properties
ρ in g cm⁻³: 9.34
Magnetic moment in μB per formula unit: 0.000
Formation energy from the elements in eV/atom: 0.026

# 7
The following is a PBE calculation of an optimized crystal structure of VSi2Sb, from Alexandria via LeMat-Bulk.

abc: 5.8843 5.8843 11.8418
angles: 90.00 90.00 90.00
Space group I-42d (No. 122)
Inequivalent atoms, fractional coordinates:
V1 0.0000 0.0000 0.0000
Si1 0.2245 0.2500 0.1250
Sb1 0.0000 0.0000 0.5000

Properties
ρ in g cm⁻³: 3.71
Magnetic moment in μB per formula unit: 1.957
Formation energy from raw total energies in meV/atom: 614

# 8
The following is a PBE calculation of an optimized crystal structure of LaNiH8Rh2, from Alexandria via LeMat-Bulk.

abc: 4.6582 4.6582 16.8270
angles: 90.00 90.00 120.00
Space group R-3 (No. 148, hexagonal axes)
Inequivalent atoms, fractional coordinates:
La1 0.0000 0.0000 0.0000
Ni1 0.0000 0.0000 0.5000
H1 0.0000 0.0000 0.3071
H2 0.0069 0.6326 0.7872
Rh1 0.0000 0.0000 0.2065

Properties
ρ in g cm⁻³: 6.48
Magnetic moment in μB per formula unit: 0.000
Total energy in eV per atom: -4.621